[1]
Tb2Sm3Tl | PBE-GGA | optimized geometry

Computed properties:
calculated volume	186.0	Å³/cell
formation enthalpy at 0 K	-0.11	eV per atom
space-group type	Cmmm, No. 65
density	8.7	Mg/m³
spin magnetization	0.00	μB/atom
energy relative to the lowest polymorph listed for this composition	0	meV per atom

a b c (Å): 8.049 8.049 4.919
angles (deg): 90.00 90.00 144.29
Fractional positions:
Tb 0.163 0.837 0.000
Tb 0.837 0.163 0.000
Sm 0.000 0.000 0.500
Sm 0.331 0.669 0.500
Sm 0.669 0.331 0.500
Tl 0.500 0.500 0.000

---

[2]
MnPPd2 | PBE-GGA | optimized geometry

Computed properties:
calculated volume	118.2	Å³/cell
formation enthalpy at 0 K	-0.35	eV per atom
space-group type	Cmcm, No. 63
density	8.4	Mg/m³
spin magnetization	0.98	μB/atom

a b c (Å): 5.042 5.042 7.050
angles (deg): 90.00 90.00 138.75
Fractional positions:
Mn 0.049 0.951 0.750
Mn 0.951 0.049 0.250
P 0.244 0.756 0.250
P 0.756 0.244 0.750
Pd 0.361 0.639 0.552
Pd 0.361 0.639 0.948
Pd 0.639 0.361 0.052
Pd 0.639 0.361 0.448

---

[3]
Zr3In5Te12 | PBE-GGA | optimized geometry

Computed properties:
calculated volume	2643.0	Å³/cell
formation energy from raw total energies	-337	meV/atom
space-group type	Ia-3d, No. 230
density	6.0	Mg/m³
spin magnetization	0.00	μB/atom

a b c (Å): 15.086 15.086 15.086
angles (deg): 109.47 109.47 109.47
Fractional positions:
Zr 0.125 0.250 0.375
Zr 0.125 0.375 0.750
Zr 0.250 0.375 0.125
Zr 0.250 0.875 0.625
Zr 0.375 0.125 0.250
Zr 0.375 0.750 0.125
Zr 0.625 0.250 0.875
Zr 0.625 0.875 0.750
Zr 0.750 0.125 0.375
Zr 0.750 0.625 0.875
Zr 0.875 0.625 0.250
Zr 0.875 0.750 0.625
In 0.000 0.000 0.000
In 0.000 0.000 0.500
In 0.000 0.500 0.000
In 0.000 0.500 0.500
In 0.125 0.750 0.875
In 0.125 0.875 0.250
In 0.250 0.125 0.875
In 0.250 0.625 0.375
In 0.375 0.250 0.625
In 0.375 0.625 0.750
In 0.500 0.000 0.000
In 0.500 0.000 0.500
In 0.500 0.500 0.000
In 0.500 0.500 0.500
In 0.625 0.375 0.250
In 0.625 0.750 0.375
In 0.750 0.375 0.625
In 0.750 0.875 0.125
In 0.875 0.125 0.750
In 0.875 0.250 0.125
Te 0.056 0.228 0.137
Te 0.056 0.328 0.919
Te 0.081 0.637 0.409
Te 0.081 0.944 0.672
Te 0.091 0.728 0.672
Te 0.091 0.863 0.419
Te 0.137 0.056 0.228
Te 0.137 0.581 0.909
Te 0.172 0.228 0.591
Te 0.172 0.444 0.581
Te 0.228 0.137 0.056
Te 0.228 0.591 0.172
Te 0.272 0.328 0.909
Te 0.272 0.444 0.363
Te 0.328 0.909 0.272
Te 0.328 0.919 0.056
Te 0.363 0.272 0.444
Te 0.363 0.591 0.919
Te 0.409 0.081 0.637
Te 0.409 0.828 0.772
Te 0.419 0.091 0.863
Te 0.419 0.828 0.556
Te 0.444 0.363 0.272
Te 0.444 0.581 0.172
Te 0.556 0.419 0.828
Te 0.556 0.637 0.728
Te 0.581 0.172 0.444
Te 0.581 0.909 0.137
Te 0.591 0.172 0.228
Te 0.591 0.919 0.363
Te 0.637 0.409 0.081
Te 0.637 0.728 0.556
Te 0.672 0.081 0.944
Te 0.672 0.091 0.728
Te 0.728 0.556 0.637
Te 0.728 0.672 0.091
Te 0.772 0.409 0.828
Te 0.772 0.863 0.944
Te 0.828 0.556 0.419
Te 0.828 0.772 0.409
Te 0.863 0.419 0.091
Te 0.863 0.944 0.772
Te 0.909 0.137 0.581
Te 0.909 0.272 0.328
Te 0.919 0.056 0.328
Te 0.919 0.363 0.591
Te 0.944 0.672 0.081
Te 0.944 0.772 0.863

---

[4]
Ta2AlW | PBE-GGA | optimized geometry

Computed properties:
calculated volume	68.1	Å³/cell
formation enthalpy at 0 K	-0.06	eV per atom
space-group type	P2/m, No. 10
density	14.0	Mg/m³
spin magnetization	0.00	μB/atom

a b c (Å): 2.786 4.576 5.434
angles (deg): 90.00 100.36 90.00
Fractional positions:
Ta 0.242 0.000 0.255
Ta 0.758 0.000 0.745
Al 0.500 0.500 0.000
W 0.000 0.500 0.500

---

[5]
TbZnPd2 | PBE-GGA | optimized geometry

Computed properties:
calculated volume	295.0	Å³/cell
formation enthalpy at 0 K	-0.75	eV per atom
space-group type	Pnma, No. 62
density	9.8	Mg/m³
spin magnetization	0.00	μB/atom

a b c (Å): 7.209 7.270 5.630
angles (deg): 90.00 90.00 90.00
Fractional positions:
Tb 0.025 0.250 0.138
Tb 0.475 0.750 0.638
Tb 0.525 0.250 0.362
Tb 0.975 0.750 0.862
Zn 0.113 0.750 0.359
Zn 0.387 0.250 0.859
Zn 0.613 0.750 0.141
Zn 0.887 0.250 0.641
Pd 0.187 0.049 0.587
Pd 0.187 0.451 0.587
Pd 0.313 0.549 0.087
Pd 0.313 0.951 0.087
Pd 0.687 0.049 0.913
Pd 0.687 0.451 0.913
Pd 0.813 0.549 0.413
Pd 0.813 0.951 0.413

---

[6]
Sc4Ir2Ru | PBE-GGA | optimized geometry

Computed properties:
calculated volume	131.6	Å³/cell
formation enthalpy at 0 K	-0.78	eV per atom
space-group type	R-3m, No. 166
density	8.4	Mg/m³
spin magnetization	0.00	μB/atom

a b c (Å): 7.799 7.799 7.799
angles (deg): 33.91 33.91 33.91
Fractional positions:
Sc 0.123 0.123 0.123
Sc 0.374 0.374 0.374
Sc 0.626 0.626 0.626
Sc 0.877 0.877 0.877
Ir 0.249 0.249 0.249
Ir 0.751 0.751 0.751
Ru 0.500 0.500 0.500

---

[7]
RbLa3Br | PBE-GGA | optimized geometry

Computed properties:
calculated volume	206.3	Å³/cell
formation energy from raw total energies	-95	meV/atom
space-group type	Pm-3m, No. 221
density	4.7	Mg/m³
spin magnetization	0.00	μB/atom
energy relative to the lowest polymorph listed for this composition	0	meV per atom

a b c (Å): 5.909 5.909 5.909
angles (deg): 90.00 90.00 90.00
Fractional positions:
Rb 0.000 0.000 0.000
La 0.000 0.500 0.500
La 0.500 0.000 0.500
La 0.500 0.500 0.000
Br 0.500 0.500 0.500

---

[8]
LiCaSc2Ga4 | PBE-GGA | optimized geometry

Computed properties:
calculated volume	158.0	Å³/cell
formation enthalpy at 0 K	-0.42	eV per atom
space-group type	R-3m, No. 166
density	4.4	Mg/m³
spin magnetization	0.00	μB/atom

a b c (Å): 8.476 8.476 8.476
angles (deg): 32.70 32.70 32.70
Fractional positions:
Li 0.000 0.000 0.000
Ca 0.500 0.500 0.500
Sc 0.255 0.255 0.255
Sc 0.745 0.745 0.745
Ga 0.118 0.118 0.118
Ga 0.373 0.373 0.373
Ga 0.627 0.627 0.627
Ga 0.882 0.882 0.882